This record from the Alexandria database describes a relaxed LaW2O8 crystal. The functional is GGA+U.

Unit cell a=6.8183 b=6.8183 c=6.8183 alpha=138.22 beta=138.22 gamma=60.56
Closest atoms and distances in Å follow each position.
Fractional positions:
1 La 0.0000 0.0000 0.0000  8 O 2.47
2 W 0.2500 0.7500 0.5000  8 O 2.08
3 W 0.7500 0.2500 0.5000  8 O 2.08
4 O 0.0990 0.0990 0.4997  2 W 2.08
5 O 0.0990 0.5993 0.0000  2 W 2.08
6 O 0.4007 0.4007 0.4997  2 W 2.08
7 O 0.4007 0.9010 0.0000  2 W 2.08
8 O 0.5993 0.0990 0.0000  2 W 2.08
9 O 0.5993 0.5993 0.5003  2 W 2.08
10 O 0.9010 0.4007 0.0000  2 W 2.08
11 O 0.9010 0.9010 0.5003  2 W 2.08

Calculated values
* VASP energy: -7.169 eV per atom
* SG: No. 139